DFT (PBE) results for a relaxed structure of LaTiSiI2. Values from VASP.

## Properties
The uncorrected formation energy is 323 meV/atom. The crystal system is tetragonal. As for the calculated total energy: -3.946 eV/atom.

```
&SYSTEM
  ibrav = 0, nat = 5, ntyp = 4
/
ATOMIC_SPECIES
La 138.91 La.upf
Si 28.09 Si.upf
Ti 47.87 Ti.upf
I 126.90 I.upf
CELL_PARAMETERS angstrom
-4.799 2.670 0.893
-1.893 -2.041 -4.071
-1.834 -4.304 3.011
ATOMIC_POSITIONS crystal
La 0.500 0.500 0.500
Si 0.000 0.000 0.000
Ti 0.000 0.500 0.000
I 0.000 0.000 0.500
I 0.500 0.000 0.000
```